(1)
# PBE NbVCr3, optimized geometry
# Energy above the lowest structure with this stoichiometry: 0.0 kJ/mol of atoms
data_NbVCr3
_chemical_formula_sum 'Nb1 V1 Cr3'
_cell_length_a 4.247
_cell_length_b 4.247
_cell_length_c 4.247
_cell_angle_alpha 90.00
_cell_angle_beta 90.00
_cell_angle_gamma 90.00
_space_group_name_H-M_alt 'P m -3 m'
_space_group_IT_number 221
_space_group_name_Hall '-P 4 2 3'
loop_
_atom_site_label
_atom_site_fract_x
_atom_site_fract_y
_atom_site_fract_z
Nb1 0.000 0.000 0.000
V1 0.500 0.500 0.500
Cr1 0.000 0.500 0.500

=====

(2)
# PBE Nb2VCr, optimized geometry
# Energy above the lowest structure with this stoichiometry: 0.6 kJ/mol of atoms
data_Nb2VCr
_chemical_formula_sum 'Nb2 V1 Cr1'
_cell_length_a 4.429
_cell_length_b 4.429
_cell_length_c 3.146
_cell_angle_alpha 90.00
_cell_angle_beta 90.00
_cell_angle_gamma 90.00
_space_group_name_H-M_alt 'P 4/m m m'
_space_group_IT_number 123
_space_group_name_Hall '-P 4 2'
loop_
_atom_site_label
_atom_site_fract_x
_atom_site_fract_y
_atom_site_fract_z
Nb1 0.000 0.500 0.000
V1 0.000 0.000 0.500
Cr1 0.500 0.500 0.500

=====

(3)
# PBE NbV3Cr, optimized geometry
# Energy above the lowest structure with this stoichiometry: 70.9 kJ/mol of atoms
data_NbV3Cr
_chemical_formula_sum 'Nb1 V3 Cr1'
_cell_length_a 4.304
_cell_length_b 4.304
_cell_length_c 4.304
_cell_angle_alpha 90.00
_cell_angle_beta 90.00
_cell_angle_gamma 90.00
_space_group_name_H-M_alt 'P m -3 m'
_space_group_IT_number 221
_space_group_name_Hall '-P 4 2 3'
loop_
_atom_site_label
_atom_site_fract_x
_atom_site_fract_y
_atom_site_fract_z
Nb1 0.000 0.000 0.000
V1 0.000 0.500 0.500
Cr1 0.500 0.500 0.500

=====

(4)
Entry from the Alexandria database: Nb2V4Cr after structural relaxation (PBE).

Structure (CIF):
```
data_Nb2V4Cr
_chemical_formula_sum 'Nb4 V8 Cr2'
_cell_length_a 4.262
_cell_length_b 4.262
_cell_length_c 12.963
_cell_angle_alpha 90.00
_cell_angle_beta 90.00
_cell_angle_gamma 90.00
_space_group_name_H-M_alt 'I 4/m m m'
_space_group_IT_number 139
_space_group_name_Hall '-I 4 2'
loop_
_atom_site_label
_atom_site_fract_x
_atom_site_fract_y
_atom_site_fract_z
Nb1 0.000 0.000 0.130
V1 0.000 0.000 0.321
V2 0.000 0.500 0.000
Cr1 0.000 0.000 0.500
```

=====

(5)
# PBE NbV3Cr, optimized geometry
# Energy above the lowest structure with this stoichiometry: 0.0 kJ/mol of atoms
data_NbV3Cr
_chemical_formula_sum 'Nb4 V12 Cr4'
_cell_length_a 12.677
_cell_length_b 4.181
_cell_length_c 5.378
_cell_angle_alpha 90.00
_cell_angle_beta 98.61
_cell_angle_gamma 90.00
_space_group_name_H-M_alt 'C 1 2/m 1'
_space_group_IT_number 12
_space_group_name_Hall '-C 2y'
loop_
_atom_site_label
_atom_site_fract_x
_atom_site_fract_y
_atom_site_fract_z
Nb1 0.199 0.000 0.154
V1 0.000 0.000 0.257
V2 0.093 0.500 0.946
V3 0.194 0.000 0.640
Cr1 0.093 0.500 0.455

=====

(6)
Entry from the Alexandria database: NbV3Cr4 after structural relaxation (PBE).

Structure (CIF):
```
data_NbV3Cr4
_chemical_formula_sum 'Nb1 V3 Cr4'
_cell_length_a 4.190
_cell_length_b 4.190
_cell_length_c 5.949
_cell_angle_alpha 90.00
_cell_angle_beta 90.00
_cell_angle_gamma 90.00
_space_group_name_H-M_alt 'P 4/m m m'
_space_group_IT_number 123
_space_group_name_Hall '-P 4 2'
loop_
_atom_site_label
_atom_site_fract_x
_atom_site_fract_y
_atom_site_fract_z
Nb1 0.000 0.000 0.000
V1 0.000 0.000 0.500
V2 0.500 0.500 0.000
V3 0.500 0.500 0.500
Cr1 0.000 0.500 0.258
```

=====

(7)
# PBE Nb3VCr, optimized geometry
# Energy above the lowest structure with this stoichiometry: 12.4 kJ/mol of atoms
data_Nb3VCr
_chemical_formula_sum 'Nb3 V1 Cr1'
_cell_length_a 4.646
_cell_length_b 4.646
_cell_length_c 4.646
_cell_angle_alpha 90.00
_cell_angle_beta 90.00
_cell_angle_gamma 90.00
_space_group_name_H-M_alt 'P m -3 m'
_space_group_IT_number 221
_space_group_name_Hall '-P 4 2 3'
loop_
_atom_site_label
_atom_site_fract_x
_atom_site_fract_y
_atom_site_fract_z
Nb1 0.000 0.000 0.500
V1 0.000 0.000 0.000
Cr1 0.500 0.500 0.500

=====

(8)
# PBE Nb2V2Cr, optimized geometry
# Energy above the lowest structure with this stoichiometry: 34.3 kJ/mol of atoms
data_Nb2V2Cr
_chemical_formula_sum 'Nb4 V4 Cr2'
_cell_length_a 3.227
_cell_length_b 3.227
_cell_length_c 15.518
_cell_angle_alpha 90.00
_cell_angle_beta 90.00
_cell_angle_gamma 90.00
_space_group_name_H-M_alt 'I 4/m m m'
_space_group_IT_number 139
_space_group_name_Hall '-I 4 2'
loop_
_atom_site_label
_atom_site_fract_x
_atom_site_fract_y
_atom_site_fract_z
Nb1 0.000 0.000 0.094
V1 0.000 0.500 0.250
Cr1 0.000 0.000 0.500

=====

Computed total energy, in the same sequence as the records: -8.576 -9.675 -8.638 -8.608 -9.373 -9.514 -8.650 -8.936 eV per atom.
Computed calculated formation energy, in the same sequence as the records: 1036 45 771 854 37 -25 1140 664 meV per atom.